GGA-PBE Re8TcRu2, optimized geometry; DOS(E_F) = 9.23 states/eV per cell; energy of formation = 3.42 eV/f.u.; space group = C2/m; calculated total energy = -11.371 eV/atom
1.0
7.419 -2.577 0.000
7.419 2.577 0.000
-0.077 0.000 4.500
Re Tc Ru
8 1 2
Direct
0.044 0.044 0.257 Re
0.113 0.631 0.269 Re
0.337 0.337 0.738 Re
0.369 0.887 0.731 Re
0.631 0.113 0.269 Re
0.663 0.663 0.262 Re
0.887 0.369 0.731 Re
0.956 0.956 0.743 Re
0.500 0.500 0.000 Tc
0.218 0.218 0.196 Ru
0.782 0.782 0.804 Ru

=====

GGA-PBE Be2FeAu, optimized geometry; DOS(E_F) = 7.25 states/eV per cell; energy of formation = 1.27 eV/f.u.; space group = I-42d; calculated total energy = -4.482 eV/atom
1.0
6.188 0.000 0.000
0.000 6.188 0.000
0.000 0.000 5.169
Be Fe Au
8 4 4
Direct
0.242 0.250 0.125 Be
0.250 0.742 0.375 Be
0.250 0.758 0.875 Be
0.258 0.250 0.625 Be
0.742 0.750 0.625 Be
0.750 0.242 0.875 Be
0.750 0.258 0.375 Be
0.758 0.750 0.125 Be
0.000 0.000 0.000 Fe
0.000 0.500 0.250 Fe
0.500 0.000 0.750 Fe
0.500 0.500 0.500 Fe
0.000 0.000 0.500 Au
0.000 0.500 0.750 Au
0.500 0.000 0.250 Au
0.500 0.500 0.000 Au

=====

GGA-PBE Rb2Ag2Hg, optimized geometry; excess energy over the best structure of this formula in the dataset = 133 meV/atom; DOS(E_F) = 0.07 states/eV per cell; energy of formation = 0.54 eV/f.u.; space group = P4/mbm; calculated total energy = -1.479 eV/atom
1.0
9.852 0.000 0.000
0.000 9.852 0.000
0.000 0.000 4.346
Rb Ag Hg
4 4 2
Direct
0.178 0.322 0.000 Rb
0.322 0.822 0.000 Rb
0.678 0.178 0.000 Rb
0.822 0.678 0.000 Rb
0.106 0.606 0.500 Ag
0.394 0.106 0.500 Ag
0.606 0.894 0.500 Ag
0.894 0.394 0.500 Ag
0.000 0.000 0.000 Hg
0.500 0.500 0.000 Hg

=====

GGA-PBE BaPu3Br8, optimized geometry; DOS(E_F) = 39.40 states/eV per cell; formation energy without anion corrections = -1589.8 meV per atom; space group = R-3m; calculated total energy = -6.448 eV/atom
1.0
4.191 2.419 7.891
-4.191 2.419 7.891
0.000 -4.839 7.891
Ba Pu Br
1 3 8
Direct
0.000 0.000 0.000 Ba
0.000 0.000 0.500 Pu
0.000 0.500 0.000 Pu
0.500 0.000 0.000 Pu
0.240 0.240 0.240 Br
0.240 0.741 0.741 Br
0.259 0.259 0.760 Br
0.259 0.760 0.259 Br
0.741 0.240 0.741 Br
0.741 0.741 0.240 Br
0.760 0.259 0.259 Br
0.760 0.760 0.760 Br